Version 1
Material: Ti2Nb2Mo3
Method: DFT, PBE
State: relaxed

DOS at the Fermi energy, states/eV/atom: 1.184

a = 4.434 Å, b = 4.498 Å, c = 6.919 Å
α = 104.16°, β = 108.54°, γ = 90.04°
Fractional positions:
1 Ti 0.122 0.132 0.243
2 Ti 0.878 0.868 0.757
3 Nb 0.374 0.367 0.749
4 Nb 0.626 0.633 0.251
5 Mo 0.000 0.500 0.000
6 Mo 0.247 0.748 0.494
7 Mo 0.753 0.252 0.506

Version 2
Material: Ti2Nb2Mo3
Method: DFT, PBE
State: relaxed

DOS at the Fermi energy, states/eV/atom: 1.174

a = 5.369 Å, b = 5.369 Å, c = 5.361 Å
α = 96.07°, β = 96.07°, γ = 49.21°
Fractional positions:
1 Ti 0.074 0.074 0.280
2 Ti 0.926 0.926 0.720
3 Nb 0.220 0.220 0.840
4 Nb 0.780 0.780 0.160
5 Mo 0.364 0.364 0.422
6 Mo 0.500 0.500 0.000
7 Mo 0.636 0.636 0.578

Energy relative to the most stable one, in kJ/mol of atoms: version 1 31.6; version 2 0.0

Version 1
Material: TiNbMo3
Method: DFT, PBE
State: relaxed

DOS at the Fermi energy, states/eV/atom: 1.541

a = 4.730 Å, b = 4.730 Å, c = 4.730 Å
α = 90.00°, β = 90.00°, γ = 90.00°
Fractional positions:
1 Ti 0.000 0.000 0.000
2 Nb 0.500 0.500 0.500
3 Mo 0.000 0.500 0.500
4 Mo 0.500 0.000 0.500
5 Mo 0.500 0.500 0.000

Version 2
Material: TiNbMo3
Method: DFT, PBE
State: relaxed

DOS at the Fermi energy, states/eV/atom: 1.168

a = 13.549 Å, b = 5.204 Å, c = 4.786 Å
α = 90.00°, β = 90.00°, γ = 90.00°
Fractional positions:
1 Ti 0.250 0.000 0.142
2 Ti 0.250 0.500 0.358
3 Ti 0.750 0.000 0.858
4 Ti 0.750 0.500 0.642
5 Nb 0.051 0.250 0.250
6 Nb 0.449 0.750 0.250
7 Nb 0.551 0.250 0.750
8 Nb 0.949 0.750 0.750
9 Mo 0.060 0.750 0.250
10 Mo 0.148 0.000 0.692
11 Mo 0.148 0.500 0.808
12 Mo 0.352 0.000 0.692
13 Mo 0.352 0.500 0.808
14 Mo 0.440 0.250 0.250
15 Mo 0.560 0.750 0.750
16 Mo 0.648 0.000 0.308
17 Mo 0.648 0.500 0.192
18 Mo 0.852 0.000 0.308
19 Mo 0.852 0.500 0.192
20 Mo 0.940 0.250 0.750

Energy relative to the most stable one, in kJ/mol of atoms: version 1 137.2; version 2 0.0

Version 1
Material: TiNbMo3
Method: DFT, PBE
State: relaxed

DOS at the Fermi energy, states/eV/atom: 0.890

a = 7.153 Å, b = 6.319 Å, c = 7.711 Å
α = 90.00°, β = 90.00°, γ = 90.00°
Fractional positions:
1 Ti 0.000 0.000 0.000
2 Ti 0.000 0.500 0.000
3 Ti 0.500 0.000 0.500
4 Ti 0.500 0.500 0.500
5 Nb 0.195 0.250 0.393
6 Nb 0.305 0.750 0.893
7 Nb 0.695 0.250 0.107
8 Nb 0.805 0.750 0.607
9 Mo 0.133 0.527 0.647
10 Mo 0.133 0.973 0.647
11 Mo 0.136 0.750 0.295
12 Mo 0.364 0.250 0.795
13 Mo 0.367 0.027 0.147
14 Mo 0.367 0.473 0.147
15 Mo 0.633 0.527 0.853
16 Mo 0.633 0.973 0.853
17 Mo 0.636 0.750 0.205
18 Mo 0.864 0.250 0.705
19 Mo 0.867 0.027 0.353
20 Mo 0.867 0.473 0.353

Version 2
Material: TiNbMo3
Method: DFT, PBE
State: relaxed

DOS at the Fermi energy, states/eV/atom: 2.316

a = 4.540 Å, b = 4.540 Å, c = 4.540 Å
α = 90.00°, β = 90.00°, γ = 90.00°
Fractional positions:
1 Ti 0.000 0.000 0.000
2 Nb 0.500 0.500 0.500
3 Mo 0.000 0.000 0.500
4 Mo 0.000 0.500 0.000
5 Mo 0.500 0.000 0.000

Energy relative to the most stable one, in kJ/mol of atoms: version 1 0.0; version 2 95.1

Version 1
Material: Ti6Nb2Mo
Method: DFT, PBE
State: relaxed

DOS at the Fermi energy, states/eV/atom: 1.601

a = 4.562 Å, b = 4.578 Å, c = 8.503 Å
α = 89.89°, β = 89.84°, γ = 60.15°
Fractional positions:
1 Ti 0.004 0.497 0.189
2 Ti 0.329 0.839 0.738
3 Ti 0.337 0.828 0.400
4 Ti 0.663 0.172 0.600
5 Ti 0.671 0.161 0.262
6 Ti 0.996 0.503 0.811
7 Nb 0.336 0.832 0.069
8 Nb 0.664 0.168 0.931
9 Mo 0.000 0.500 0.500

Version 2
Material: Ti6Nb2Mo
Method: DFT, PBE
State: relaxed

DOS at the Fermi energy, states/eV/atom: 1.229

a = 7.232 Å, b = 7.232 Å, c = 9.588 Å
α = 123.49°, β = 123.49°, γ = 22.12°
Fractional positions:
1 Ti 0.051 0.051 0.269
2 Ti 0.230 0.230 0.611
3 Ti 0.389 0.389 0.946
4 Ti 0.611 0.611 0.054
5 Ti 0.770 0.770 0.389
6 Ti 0.949 0.949 0.731
7 Nb 0.333 0.333 0.174
8 Nb 0.667 0.667 0.826
9 Mo 0.000 0.000 0.500

Energy relative to the most stable one, in kJ/mol of atoms: version 1 0.0; version 2 10.3

Version 1
Material: Ti3Nb2Mo2
Method: DFT, PBE
State: relaxed

DOS at the Fermi energy, states/eV/atom: 1.205

a = 3.226 Å, b = 5.321 Å, c = 7.317 Å
α = 79.89°, β = 89.87°, γ = 72.64°
Fractional positions:
1 Ti 0.000 0.000 0.000
2 Ti 0.419 0.164 0.289
3 Ti 0.581 0.836 0.711
4 Nb 0.145 0.710 0.413
5 Nb 0.855 0.290 0.587
6 Mo 0.285 0.431 0.867
7 Mo 0.715 0.569 0.133

Version 2
Material: Ti3Nb2Mo2
Method: DFT, PBE
State: relaxed

DOS at the Fermi energy, states/eV/atom: 1.478

a = 4.787 Å, b = 2.686 Å, c = 9.701 Å
α = 90.00°, β = 104.26°, γ = 90.00°
Fractional positions:
1 Ti 0.000 0.000 0.000
2 Ti 0.289 0.000 0.579
3 Ti 0.711 0.000 0.421
4 Nb 0.139 0.000 0.277
5 Nb 0.861 0.000 0.723
6 Mo 0.430 0.500 0.862
7 Mo 0.570 0.500 0.138

Energy relative to the most stable one, in kJ/mol of atoms: version 1 0.0; version 2 30.0

Version 1
Material: Ti2Nb3Mo2
Method: DFT, PBE
State: relaxed

DOS at the Fermi energy, states/eV/atom: 1.473

a = 5.294 Å, b = 5.294 Å, c = 5.365 Å
α = 94.05°, β = 94.05°, γ = 52.55°
Fractional positions:
1 Ti 0.066 0.066 0.270
2 Ti 0.934 0.934 0.730
3 Nb 0.355 0.355 0.432
4 Nb 0.500 0.500 0.000
5 Nb 0.645 0.645 0.568
6 Mo 0.218 0.218 0.856
7 Mo 0.782 0.782 0.144

Version 2
Material: Ti2Nb3Mo2
Method: DFT, PBE
State: relaxed

DOS at the Fermi energy, states/eV/atom: 1.162

a = 5.342 Å, b = 5.342 Å, c = 7.361 Å
α = 99.69°, β = 99.69°, γ = 35.25°
Fractional positions:
1 Ti 0.080 0.080 0.211
2 Ti 0.920 0.920 0.789
3 Nb 0.354 0.354 0.083
4 Nb 0.500 0.500 0.500
5 Nb 0.646 0.646 0.917
6 Mo 0.214 0.214 0.635
7 Mo 0.786 0.786 0.365

Energy relative to the most stable one, in kJ/mol of atoms: version 1 0.8; version 2 0.0

Version 1
Material: Ti2NbMo2
Method: DFT, PBE
State: relaxed

DOS at the Fermi energy, states/eV/atom: 1.326

a = 4.529 Å, b = 4.529 Å, c = 5.345 Å
α = 115.14°, β = 115.14°, γ = 60.14°
Fractional positions:
1 Ti 0.209 0.209 0.125
2 Ti 0.791 0.791 0.875
3 Nb 0.000 0.000 0.500
4 Mo 0.407 0.407 0.720
5 Mo 0.593 0.593 0.280

Version 2
Material: Ti2NbMo2
Method: DFT, PBE
State: relaxed

DOS at the Fermi energy, states/eV/atom: 1.347

a = 7.239 Å, b = 7.239 Å, c = 3.280 Å
α = 90.00°, β = 90.00°, γ = 90.00°
Fractional positions:
1 Ti 0.147 0.353 0.000
2 Ti 0.353 0.853 0.000
3 Ti 0.647 0.147 0.000
4 Ti 0.853 0.647 0.000
5 Nb 0.000 0.000 0.500
6 Nb 0.500 0.500 0.500
7 Mo 0.155 0.655 0.500
8 Mo 0.345 0.155 0.500
9 Mo 0.655 0.845 0.500
10 Mo 0.845 0.345 0.500

Version 3
Material: Ti2NbMo2
Method: DFT, PBE
State: relaxed

DOS at the Fermi energy, states/eV/atom: 1.971

a = 7.194 Å, b = 7.194 Å, c = 3.273 Å
α = 90.00°, β = 90.00°, γ = 90.00°
Fractional positions:
1 Ti 0.140 0.360 0.000
2 Ti 0.360 0.860 0.000
3 Ti 0.640 0.140 0.000
4 Ti 0.860 0.640 0.000
5 Nb 0.000 0.000 0.000
6 Nb 0.500 0.500 0.000
7 Mo 0.158 0.658 0.500
8 Mo 0.342 0.158 0.500
9 Mo 0.658 0.842 0.500
10 Mo 0.842 0.342 0.500

Energy relative to the most stable one, in kJ/mol of atoms: version 1 0.0; version 2 34.4; version 3 43.0

Version 1
Material: Ti4Nb2Mo
Method: DFT, PBE
State: relaxed

DOS at the Fermi energy, states/eV/atom: 1.163

a = 7.261 Å, b = 7.261 Å, c = 7.261 Å
α = 142.80°, β = 142.80°, γ = 53.63°
Fractional positions:
1 Ti 0.000 0.500 0.500
2 Ti 0.195 0.195 0.000
3 Ti 0.500 0.000 0.500
4 Ti 0.805 0.805 0.000
5 Nb 0.375 0.375 0.000
6 Nb 0.625 0.625 0.000
7 Mo 0.000 0.000 0.000

Version 2
Material: Ti4Nb2Mo
Method: DFT, PBE
State: relaxed

DOS at the Fermi energy, states/eV/atom: 1.478

a = 2.868 Å, b = 6.960 Å, c = 7.015 Å
α = 116.08°, β = 98.48°, γ = 99.25°
Fractional positions:
1 Ti 0.051 0.417 0.273
2 Ti 0.280 0.275 0.860
3 Ti 0.720 0.725 0.140
4 Ti 0.949 0.583 0.727
5 Nb 0.400 0.143 0.424
6 Nb 0.600 0.857 0.576
7 Mo 0.500 0.000 0.000

Energy relative to the most stable one, in kJ/mol of atoms: version 1 81.6; version 2 0.0

Version 1
Material: Ti2Nb7Mo2
Method: DFT, PBE
State: relaxed

DOS at the Fermi energy, states/eV/atom: 1.343

a = 5.320 Å, b = 5.320 Å, c = 7.985 Å
α = 91.94°, β = 91.94°, γ = 116.72°
Fractional positions:
1 Ti 0.237 0.763 0.000
2 Ti 0.763 0.237 0.000
3 Nb 0.000 0.000 0.500
4 Nb 0.136 0.593 0.335
5 Nb 0.319 0.319 0.833
6 Nb 0.407 0.864 0.665
7 Nb 0.593 0.136 0.335
8 Nb 0.681 0.681 0.167
9 Nb 0.864 0.407 0.665
10 Mo 0.173 0.173 0.166
11 Mo 0.827 0.827 0.834

Version 2
Material: Ti2Nb7Mo2
Method: DFT, PBE
State: relaxed

DOS at the Fermi energy, states/eV/atom: 1.177

a = 6.361 Å, b = 6.361 Å, c = 5.262 Å
α = 102.97°, β = 102.97°, γ = 93.21°
Fractional positions:
1 Ti 0.232 0.768 0.000
2 Ti 0.768 0.232 0.000
3 Nb 0.070 0.594 0.333
4 Nb 0.273 0.273 0.989
5 Nb 0.406 0.930 0.667
6 Nb 0.500 0.500 0.500
7 Nb 0.594 0.070 0.333
8 Nb 0.727 0.727 0.011
9 Nb 0.930 0.406 0.667
10 Mo 0.088 0.088 0.338
11 Mo 0.912 0.912 0.662

Energy relative to the most stable one, in kJ/mol of atoms: version 1 0.0; version 2 7.5

Version 1
Material: Ti4NbMo
Method: DFT, PBE
State: relaxed

DOS at the Fermi energy, states/eV/atom: 1.230

a = 5.094 Å, b = 6.966 Å, c = 7.098 Å
α = 61.05°, β = 71.02°, γ = 79.95°
Fractional positions:
1 Ti 0.010 0.348 0.228
2 Ti 0.281 0.874 0.281
3 Ti 0.391 0.432 0.393
4 Ti 0.411 0.724 0.941
5 Ti 0.589 0.276 0.059
6 Ti 0.609 0.568 0.607
7 Ti 0.719 0.126 0.719
8 Ti 0.990 0.652 0.772
9 Nb 0.158 0.202 0.881
10 Nb 0.842 0.798 0.119
11 Mo 0.242 0.026 0.583
12 Mo 0.758 0.974 0.417

Version 2
Material: Ti4NbMo
Method: DFT, PBE
State: relaxed

DOS at the Fermi energy, states/eV/atom: 1.065

a = 4.342 Å, b = 4.342 Å, c = 6.193 Å
α = 90.00°, β = 90.00°, γ = 90.00°
Fractional positions:
1 Ti 0.000 0.500 0.243
2 Ti 0.000 0.500 0.757
3 Ti 0.500 0.000 0.243
4 Ti 0.500 0.000 0.757
5 Nb 0.000 0.000 0.500
6 Mo 0.500 0.500 0.000

Energy relative to the most stable one, in kJ/mol of atoms: version 1 0.0; version 2 53.0

Version 1
Material: TiNbVMo
Method: DFT, PBE
State: relaxed

DOS at the Fermi energy, states/eV/atom: 1.219

a = 2.615 Å, b = 9.901 Å, c = 9.901 Å
α = 15.43°, β = 90.00°, γ = 90.00°
Fractional positions:
1 Ti 0.000 0.000 0.000
2 Nb 0.000 0.851 0.851
3 V 0.500 0.238 0.238
4 Mo 0.500 0.615 0.615

Version 2
Material: TiNbVMo
Method: DFT, PBE
State: relaxed

DOS at the Fermi energy, states/eV/atom: 1.532

a = 4.509 Å, b = 4.509 Å, c = 4.509 Å
α = 60.00°, β = 60.00°, γ = 60.00°
Fractional positions:
1 Ti 0.000 0.000 0.000
2 Nb 0.500 0.500 0.500
3 V 0.250 0.250 0.250
4 Mo 0.750 0.750 0.750

Energy relative to the most stable one, in kJ/mol of atoms: version 1 45.3; version 2 0.0